NaGdSO | GGA-PBE | optimized geometry

Results
Energy above the most stable polymorph in this dataset in eV per atom: 0.1697
Crystal system: orthorhombic

Cell lengths 4.319, 7.311, 6.073 Å; angles 90.00, 90.00, 90.00 degrees
Space group Pmc2_1 (No. 26)
Inequivalent atoms, fractional coordinates:
Na1 0.000 0.202 0.000 (multiplicity 2)
Gd1 0.500 0.356 0.428 (multiplicity 2)
S1 0.000 0.176 0.544 (multiplicity 2)
O1 0.500 0.377 0.076 (multiplicity 2)

---

NaGdSO | GGA-PBE | optimized geometry

Results
Energy above the most stable polymorph in this dataset in eV per atom: 0.1965
Crystal system: orthorhombic

Cell lengths 5.706, 9.907, 5.608 Å; angles 90.00, 90.00, 90.00 degrees
Space group Pca2_1 (No. 29)
Inequivalent atoms, fractional coordinates:
Na1 0.084 0.077 0.000 (multiplicity 4)
Gd1 0.003 0.671 0.071 (multiplicity 4)
S1 0.002 0.636 0.574 (multiplicity 4)
O1 0.034 0.128 0.599 (multiplicity 4)